Entry from Alexandria via LeMat-Bulk: a geometry-optimized CsK2NaBr4 structure (PBE).

Geometry as POSCAR:
```
CsK2NaBr4
1.0
-4.560 0.895 -1.238
-0.102 -2.091 8.207
2.004 15.818 4.056
Na Br Cs K
2 8 2 4
Direct
0.149 0.298 0.250 Na
0.851 0.702 0.750 Na
0.260 0.520 0.120 Br
0.740 0.480 0.620 Br
0.556 0.112 0.250 Br
0.444 0.888 0.750 Br
0.740 0.480 0.880 Br
0.260 0.520 0.380 Br
0.000 0.000 0.000 Br
0.000 0.000 0.500 Br
0.120 0.240 0.750 Cs
0.880 0.760 0.250 Cs
0.370 0.739 0.953 K
0.370 0.739 0.547 K
0.630 0.261 0.453 K
0.630 0.261 0.047 K
```

Total magnetization (μB per cell): 0.32
Space group: Cmcm (63)
Crystal system: orthorhombic

***

Entry from Alexandria via LeMat-Bulk: a geometry-optimized Cs2KNaBr structure (PBE).

Geometry as POSCAR:
```
Cs2KNaBr
1.0
-0.317 6.218 3.912
-0.770 -3.922 6.172
6.185 -0.121 0.694
Na Cs K Br
1 2 1 1
Direct
0.000 0.000 0.500 Na
0.000 0.500 0.000 Cs
0.500 0.000 0.000 Cs
0.500 0.500 0.500 K
0.000 0.000 0.000 Br
```

Total magnetization (μB per cell): 0.00
Space group: P4/mmm (123)
Crystal system: tetragonal

***

Entry from Alexandria via LeMat-Bulk: a geometry-optimized CsKNaBr3 structure (PBE).

Geometry as POSCAR:
```
CsKNaBr3
1.0
-2.905 -1.149 4.051
5.652 -6.916 2.092
3.410 8.978 4.992
Br Cs Na K
6 2 2 2
Direct
0.250 0.507 0.805 Br
0.750 0.912 0.131 Br
0.750 0.191 0.525 Br
0.250 0.809 0.475 Br
0.250 0.088 0.869 Br
0.750 0.493 0.195 Br
0.250 0.227 0.246 Cs
0.750 0.773 0.754 Cs
0.250 0.148 0.624 Na
0.750 0.852 0.376 Na
0.750 0.321 0.880 K
0.250 0.679 0.120 K
```

Total magnetization (μB per cell): 0.00
Space group: P2_1/m (11)
Crystal system: monoclinic

***

Entry from Alexandria via LeMat-Bulk: a geometry-optimized CsKNbBr6 structure (PBE).

Geometry as POSCAR:
```
CsKNbBr6
1.0
-4.321 -4.113 -5.393
7.753 -1.796 1.153
-3.689 -9.416 10.136
Cs Br Nb K
2 12 2 2
Direct
0.000 0.000 0.500 Cs
0.000 0.000 0.000 Cs
0.934 0.593 0.356 Br
0.066 0.659 0.856 Br
0.341 0.407 0.856 Br
0.659 0.593 0.144 Br
0.659 0.066 0.356 Br
0.341 0.934 0.644 Br
0.593 0.659 0.644 Br
0.593 0.934 0.856 Br
0.934 0.341 0.144 Br
0.407 0.341 0.356 Br
0.066 0.407 0.644 Br
0.407 0.066 0.144 Br
0.667 0.333 0.250 Nb
0.333 0.667 0.750 Nb
0.333 0.667 0.250 K
0.667 0.333 0.750 K
```

Total magnetization (μB per cell): 2.00
Space group: P-31c (163)
Crystal system: trigonal

***

Entry from Alexandria via LeMat-Bulk: a geometry-optimized CsK2NdBr6 structure (PBE).

Geometry as POSCAR:
```
CsK2NdBr6
1.0
8.326 0.000 0.001
4.163 7.211 0.000
4.163 2.404 7.371
K Br Nd Cs
2 6 1 1
Direct
0.011 0.011 0.968 K
0.525 0.525 0.424 K
0.968 0.565 0.233 Br
0.234 0.968 0.233 Br
0.382 0.691 0.773 Br
0.565 0.234 0.233 Br
0.153 0.382 0.773 Br
0.691 0.153 0.773 Br
0.324 0.324 0.028 Nd
0.808 0.808 0.576 Cs
```

Total magnetization (μB per cell): 0.00
Space group: R3 (146)
Crystal system: trigonal

***

Entry from Alexandria via LeMat-Bulk: a geometry-optimized Cs2KNdBr6 structure (PBE).

Geometry as POSCAR:
```
Cs2KNdBr6
1.0
-7.014 3.093 -3.813
-2.932 -3.641 -7.173
-7.287 -4.492 0.149
Br Cs K Nd
6 2 1 1
Direct
0.762 0.238 0.762 Br
0.238 0.762 0.762 Br
0.238 0.762 0.238 Br
0.762 0.238 0.238 Br
0.238 0.238 0.762 Br
0.762 0.762 0.238 Br
0.750 0.750 0.750 Cs
0.250 0.250 0.250 Cs
0.500 0.500 0.500 K
0.000 0.000 0.000 Nd
```

Total magnetization (μB per cell): 0.00
Space group: Fm-3m (225)
Crystal system: cubic

***

Entry from Alexandria via LeMat-Bulk: a geometry-optimized Cs2KNiBr6 structure (PBE).

Geometry as POSCAR:
```
Cs2KNiBr6
1.0
-5.124 6.128 0.340
-5.812 -4.769 -1.643
1.991 1.259 7.326
Br Cs Ni K
6 2 1 1
Direct
0.182 0.846 0.693 Br
0.818 0.154 0.846 Br
0.818 0.154 0.307 Br
0.182 0.846 0.154 Br
0.182 0.307 0.154 Br
0.818 0.693 0.846 Br
0.165 0.333 0.667 Cs
0.835 0.667 0.333 Cs
0.000 0.000 0.000 Ni
0.500 0.000 0.000 K
```

Total magnetization (μB per cell): 1.00
Space group: P-3m1 (164)
Crystal system: trigonal

***

Entry from Alexandria via LeMat-Bulk: a geometry-optimized CsKNiBr4 structure (PBE).

Geometry as POSCAR:
```
CsKNiBr4
1.0
6.968 0.000 -0.415
0.000 7.663 0.000
-3.259 0.000 9.885
K Br Cs Ni
2 8 2 2
Direct
0.205 0.250 0.542 K
0.795 0.750 0.458 K
0.365 0.750 0.552 Br
0.016 0.496 0.745 Br
0.984 0.996 0.255 Br
0.631 0.250 0.863 Br
0.016 0.004 0.745 Br
0.635 0.250 0.448 Br
0.369 0.750 0.137 Br
0.984 0.504 0.255 Br
0.279 0.250 0.077 Cs
0.721 0.750 0.923 Cs
0.213 0.750 0.306 Ni
0.787 0.250 0.694 Ni
```

Total magnetization (μB per cell): 4.00
Space group: P2_1/m (11)
Crystal system: monoclinic

***

Entry from Alexandria via LeMat-Bulk: a geometry-optimized Cs2KNiBr6 structure (PBE).

Geometry as POSCAR:
```
Cs2KNiBr6
1.0
8.009 0.000 0.000
0.000 8.009 0.000
4.004 4.004 5.656
Br Cs K Ni
6 2 1 1
Direct
0.781 0.781 0.439 Br
0.219 0.219 0.561 Br
0.220 0.780 0.000 Br
0.780 0.220 0.000 Br
0.780 0.780 0.000 Br
0.220 0.220 0.000 Br
0.250 0.750 0.500 Cs
0.750 0.250 0.500 Cs
0.500 0.500 0.000 K
0.000 0.000 0.000 Ni
```

Total magnetization (μB per cell): 1.00
Space group: I4/mmm (139)
Crystal system: tetragonal

***

Entry from Alexandria via LeMat-Bulk: a geometry-optimized CsK2NpBr6 structure (PBE).

Geometry as POSCAR:
```
CsK2NpBr6
1.0
-0.326 -7.312 3.739
3.316 -3.724 -6.993
11.076 2.199 4.080
Br Np Cs K
12 2 2 4
Direct
0.283 0.660 0.096 Br
0.867 0.802 0.939 Br
0.783 0.840 0.596 Br
0.717 0.340 0.904 Br
0.367 0.698 0.439 Br
0.133 0.198 0.061 Br
0.217 0.160 0.404 Br
0.150 0.449 0.787 Br
0.633 0.302 0.561 Br
0.650 0.051 0.287 Br
0.350 0.949 0.713 Br
0.850 0.551 0.213 Br
0.000 0.500 0.000 Np
0.500 0.000 0.500 Np
0.500 0.000 0.000 Cs
0.000 0.500 0.500 Cs
0.019 0.911 0.226 K
0.481 0.411 0.274 K
0.981 0.089 0.774 K
0.519 0.589 0.726 K
```

Total magnetization (μB per cell): 8.00
Space group: P2_1/c (14)
Crystal system: monoclinic

***

Entry from Alexandria via LeMat-Bulk: a geometry-optimized CsK2BrO structure (PBE).

Geometry as POSCAR:
```
CsK2BrO
1.0
5.282 0.000 0.000
0.000 8.378 -1.092
0.000 -1.619 10.419
K Br O Cs
4 2 2 2
Direct
0.250 0.056 0.663 K
0.750 0.944 0.337 K
0.250 0.003 0.096 K
0.750 0.997 0.904 K
0.750 0.266 0.617 Br
0.250 0.734 0.383 Br
0.750 0.086 0.162 O
0.250 0.914 0.838 O
0.250 0.604 0.707 Cs
0.750 0.396 0.293 Cs
```

Total magnetization (μB per cell): 0.18
Space group: P2_1/m (11)
Crystal system: monoclinic

***

Entry from Alexandria via LeMat-Bulk: a geometry-optimized CsK2BrO structure (PBE).

Geometry as POSCAR:
```
CsK2BrO
1.0
5.097 0.000 0.000
0.000 12.511 0.000
0.000 0.000 5.097
Br Cs K O
1 1 2 1
Direct
0.000 0.500 0.000 Br
0.500 0.500 0.500 Cs
0.500 0.000 0.000 K
0.000 0.000 0.500 K
0.000 0.000 0.000 O
```

Total magnetization (μB per cell): 0.00
Space group: P4/mmm (123)
Crystal system: tetragonal

***

Entry from Alexandria via LeMat-Bulk: a geometry-optimized CsK2BrO structure (PBE).

Geometry as POSCAR:
```
CsK2BrO
1.0
5.320 0.000 0.000
0.000 5.320 0.000
0.000 0.000 5.911
Cs O K Br
1 1 2 1
Direct
0.000 0.000 0.500 Cs
0.000 0.000 0.000 O
0.000 0.500 0.000 K
0.500 0.000 0.000 K
0.500 0.500 0.500 Br
```

Total magnetization (μB per cell): 0.00
Space group: P4/mmm (123)
Crystal system: tetragonal

***

Entry from Alexandria via LeMat-Bulk: a geometry-optimized CsKPaBr6 structure (PBE).

Geometry as POSCAR:
```
CsKPaBr6
1.0
-5.872 -2.292 5.292
4.690 -5.687 -3.660
9.705 0.839 11.131
Cs Br Pa K
2 12 2 2
Direct
0.000 0.000 0.500 Cs
0.000 0.000 0.000 Cs
0.047 0.654 0.860 Br
0.953 0.346 0.140 Br
0.654 0.606 0.140 Br
0.394 0.047 0.140 Br
0.606 0.953 0.860 Br
0.047 0.394 0.640 Br
0.346 0.394 0.860 Br
0.606 0.654 0.640 Br
0.654 0.047 0.360 Br
0.394 0.346 0.360 Br
0.346 0.953 0.640 Br
0.953 0.606 0.360 Br
0.333 0.667 0.750 Pa
0.667 0.333 0.250 Pa
0.667 0.333 0.750 K
0.333 0.667 0.250 K
```

Total magnetization (μB per cell): 2.01
Space group: P-31c (163)
Crystal system: trigonal

***

Entry from Alexandria via LeMat-Bulk: a geometry-optimized Cs2KPaBr8 structure (PBE).

Geometry as POSCAR:
```
Cs2KPaBr8
1.0
8.228 -0.114 -0.013
-0.107 7.192 0.009
-0.004 0.035 10.541
Br Cs Pa K
8 2 1 1
Direct
0.295 0.184 0.002 Br
0.891 0.231 0.183 Br
0.105 0.767 0.185 Br
0.109 0.769 0.817 Br
0.895 0.233 0.815 Br
0.693 0.743 0.501 Br
0.705 0.816 0.998 Br
0.307 0.257 0.499 Br
0.500 0.503 0.262 Cs
0.500 0.497 0.738 Cs
0.000 0.000 0.000 Pa
0.000 0.000 0.500 K
```

Total magnetization (μB per cell): 0.20
Space group: P-1 (2)
Crystal system: triclinic

***

Entry from Alexandria via LeMat-Bulk: a geometry-optimized CsKPbBr4 structure (PBE).

Geometry as POSCAR:
```
CsKPbBr4
1.0
5.946 0.000 0.000
0.000 5.946 0.000
-2.973 -2.973 8.825
Pb Br K Cs
1 4 1 1
Direct
0.002 0.002 0.004 Pb
0.177 0.177 0.354 Br
0.835 0.835 0.670 Br
0.492 0.992 0.985 Br
0.992 0.492 0.985 Br
0.362 0.362 0.723 K
0.639 0.639 0.279 Cs
```

Total magnetization (μB per cell): 0.00
Space group: I4mm (107)
Crystal system: tetragonal

***

Entry from Alexandria via LeMat-Bulk: a geometry-optimized Cs3KPb2Br9 structure (PBE).

Geometry as POSCAR:
```
Cs3KPb2Br9
1.0
-1.848 7.801 2.850
2.838 -5.938 5.393
9.746 2.982 -1.845
K Br Cs Pb
1 9 3 2
Direct
0.000 0.000 0.500 K
0.000 0.500 0.000 Br
0.175 0.350 0.325 Br
0.650 0.825 0.325 Br
0.500 0.000 0.000 Br
0.350 0.175 0.675 Br
0.825 0.650 0.675 Br
0.825 0.175 0.675 Br
0.500 0.500 0.000 Br
0.175 0.825 0.325 Br
0.000 0.000 0.000 Cs
0.667 0.333 0.352 Cs
0.333 0.667 0.648 Cs
0.667 0.333 0.836 Pb
0.333 0.667 0.164 Pb
```

Total magnetization (μB per cell): 0.00
Space group: P-3m1 (164)
Crystal system: trigonal

***

Entry from Alexandria via LeMat-Bulk: a geometry-optimized Cs4KPb3Br12 structure (PBE).

Geometry as POSCAR:
```
Cs4KPb3Br12
1.0
10.377 0.000 0.000
-3.459 9.783 0.000
-3.459 -4.892 8.473
Pb Br Cs K
3 12 4 1
Direct
0.500 0.500 0.000 Pb
0.000 0.500 0.500 Pb
0.500 0.000 0.500 Pb
0.250 0.500 0.750 Br
0.259 0.259 0.000 Br
0.741 0.000 0.741 Br
0.750 0.500 0.250 Br
0.000 0.259 0.259 Br
0.750 0.250 0.500 Br
0.000 0.741 0.741 Br
0.259 0.000 0.259 Br
0.250 0.750 0.500 Br
0.500 0.750 0.250 Br
0.500 0.250 0.750 Br
0.741 0.741 0.000 Br
0.000 0.500 0.000 Cs
0.500 0.000 0.000 Cs
0.000 0.000 0.500 Cs
0.500 0.500 0.500 Cs
0.000 0.000 0.000 K
```

Total magnetization (μB per cell): 0.00
Space group: Im-3m (229)
Crystal system: cubic

***

Entry from Alexandria via LeMat-Bulk: a geometry-optimized Cs2KPdBr structure (PBE).

Geometry as POSCAR:
```
Cs2KPdBr
1.0
6.676 0.000 0.000
0.000 6.676 0.000
0.000 0.000 6.083
Cs Br K Pd
2 1 1 1
Direct
0.500 0.000 0.000 Cs
0.000 0.500 0.000 Cs
0.500 0.500 0.500 Br
0.000 0.000 0.500 K
0.000 0.000 0.000 Pd
```

Total magnetization (μB per cell): 0.00
Space group: P4/mmm (123)
Crystal system: tetragonal

***

Entry from Alexandria via LeMat-Bulk: a geometry-optimized CsK2PmBr6 structure (PBE).

Geometry as POSCAR:
```
CsK2PmBr6
1.0
8.136 0.000 -0.132
0.000 8.645 0.000
-0.120 0.000 11.978
Cs Pm Br K
2 2 12 4
Direct
0.000 0.500 0.500 Cs
0.500 0.000 0.000 Cs
0.000 0.500 0.000 Pm
0.500 0.000 0.500 Pm
0.721 0.327 0.919 Br
0.151 0.221 0.089 Br
0.221 0.173 0.419 Br
0.651 0.279 0.589 Br
0.156 0.433 0.789 Br
0.844 0.567 0.211 Br
0.344 0.933 0.711 Br
0.656 0.067 0.289 Br
0.779 0.827 0.581 Br
0.849 0.779 0.911 Br
0.279 0.673 0.081 Br
0.349 0.721 0.411 Br
0.963 0.084 0.752 K
0.037 0.916 0.248 K
0.537 0.584 0.748 K
0.463 0.416 0.252 K
```

Total magnetization (μB per cell): 0.00
Space group: P2_1/c (14)
Crystal system: monoclinic

***

Calculated ΔE_f (raw) in order - -1.682 -0.578 -1.651 -1.265 -1.830 -1.845 -1.158 -1.139 -1.140 -1.603 -1.288 -1.057 -1.294 -1.659 -1.581 -1.380 -1.307 -1.295 -0.538 -1.828 eV/atom
Calculated calculated density in order - 2.9 2.0 3.0 3.1 3.1 3.5 3.4 3.5 3.9 3.6 2.3 1.6 3.0 3.4 3.1 3.7 4.0 4.2 3.0 3.3 g/cm³
Calculated total energy in order - -3.06 -1.74 -3.03 -3.72 -3.62 -3.61 -3.02 -3.20 -3.00 -4.21 -3.22 -2.99 -3.23 -4.05 -3.72 -3.14 -3.05 -3.08 -2.47 -3.61 eV per atom